Compound: LiPmV2O8
Source: the Alexandria database
Functional: GGA+U
Structure: relaxed

The structure in POSCAR format:
```
LiPmV2O8
1.0
5.837 0.000 0.000
-2.919 5.055 0.000
0.000 0.000 6.215
Li Pm V O
1 1 2 8
Direct
0.000 0.000 0.000 Li
0.000 0.000 0.500 Pm
0.333 0.667 0.156 V
0.667 0.333 0.844 V
0.169 0.338 0.243 O
0.169 0.831 0.243 O
0.333 0.667 0.878 O
0.338 0.169 0.757 O
0.662 0.831 0.243 O
0.667 0.333 0.122 O
0.831 0.169 0.757 O
0.831 0.662 0.757 O
```

E_tot	-6.970	eV/atom
total magnetic moment	2.01	μB per formula unit